## SbTeAu4 (PBE-GGA)

Data for a relaxed structure of SbTeAu4.

## Properties
D(E_F)	8.1	states/eV/cell
energy relative to the elements, uncorrected	118.1	meV per atom

Cell lengths 8.019, 8.019, 8.019 Å; angles 90.00, 90.00, 90.00 degrees
Space group F-43m (No. 216)
Asymmetric unit:
Sb 0.000 0.000 0.000 x4
Te 0.250 0.250 0.750 x4
Au 0.125 0.125 0.375 x16

## MgTl (PBE-GGA)

Data for a relaxed structure of MgTl.

## Properties
electronic total energy	-1.986	eV per atom
D(E_F)	9.1	states/eV/cell

Cell lengths 10.204, 9.596, 6.243 Å; angles 90.00, 90.00, 90.00 degrees
Space group Pbcm (No. 57)
Asymmetric unit:
Mg 0.119 0.250 0.000 x4
Mg 0.145 0.643 0.250 x4
Mg 0.378 0.061 0.250 x4
Tl 0.088 0.547 0.750 x4
Tl 0.342 0.101 0.750 x4
Tl 0.392 0.750 0.000 x4